A relaxed structure of Li2BeOsC, computed with PBE.

Unit cell a=4.6114 b=4.1384 c=4.6114 alpha=90.00 beta=90.00 gamma=90.00
Fractional coordinates of all 5 atoms:
Be (0.0000, 0.5000, 0.0000)
C (0.5000, 0.5000, 0.5000)
Os (0.0000, 0.0000, 0.0000)
Li (0.0000, 0.0000, 0.5000)
Li (0.5000, 0.0000, 0.0000)

formation enthalpy at 0 K = 2.22 eV/atom
uncorrected energy = -3.3799 eV/atom
N(E_F) = 0.80 states/eV per atom
crystal system = tetragonal